1.
A geometry-optimized Y2HoIr structure. Source: Alexandria, functional PBE-GGA.

Properties
space-group type	Pnma
energy of formation	-0.575	eV/atom
energy above the most stable polymorph in this dataset	0	meV/atom
total energy	-0.5267	Ry/atom

Cell: 7.2269 9.2967 6.4181 Å, 90.00 90.00 90.00°
Last column: nearest neighbours and their distance in Å.
Fractional coordinates of all 16 atoms:
Y: 0.1766 0.0628 0.1757  2 Ir 2.88-2.93
Y: 0.1766 0.4372 0.1757  2 Ir 2.88-2.93
Y: 0.3234 0.5628 0.6757  2 Ir 2.88-2.93
Y: 0.3234 0.9372 0.6757  2 Ir 2.88-2.93
Y: 0.6766 0.0628 0.3243  2 Ir 2.88-2.93
Y: 0.6766 0.4372 0.3243  2 Ir 2.88-2.93
Y: 0.8234 0.5628 0.8243  2 Ir 2.88-2.93
Y: 0.8234 0.9372 0.8243  2 Ir 2.88-2.93
Ho: 0.0359 0.2500 0.6329  2 Ir 2.74-2.83
Ho: 0.4641 0.7500 0.1329  2 Ir 2.74-2.83
Ho: 0.5359 0.2500 0.8671  2 Ir 2.74-2.83
Ho: 0.9641 0.7500 0.3671  2 Ir 2.74-2.83
Ir: 0.1166 0.7500 0.9606  2 Ho 2.74-2.83, 4 Y 2.88-2.93
Ir: 0.3834 0.2500 0.4606  2 Ho 2.74-2.83, 4 Y 2.88-2.93
Ir: 0.6166 0.7500 0.5394  2 Ho 2.74-2.83, 4 Y 2.88-2.93
Ir: 0.8834 0.2500 0.0394  2 Ho 2.74-2.83, 4 Y 2.88-2.93

=====

2.
A geometry-optimized BaCd3O structure. Source: Alexandria, functional PBE-GGA.

Properties
energy relative to the elements, uncorrected	961	meV per atom
space-group type	Pm-3m
energy above the most stable polymorph in this dataset	1089	meV/atom
total energy	-0.0709	Ry/atom

Cell: 6.9573 6.9573 6.9573 Å, 90.00 90.00 90.00°
Last column: nearest neighbours and their distance in Å.
Fractional coordinates of all 5 atoms:
Ba: 0.0000 0.0000 0.0000  6 Cd 3.48
Cd: 0.0000 0.0000 0.5000  2 Ba 3.48
Cd: 0.0000 0.5000 0.0000  2 Ba 3.48
Cd: 0.5000 0.0000 0.0000  2 Ba 3.48
O: 0.5000 0.5000 0.5000  12 Cd 4.92